# PmHo5Tm2

PmHo5Tm2 after structural relaxation (PBE, Alexandria via LeMat-Bulk).

Structure (extended XYZ):
```
16
Lattice="-1.008 -5.380 1.181 5.373 3.200 5.870 -8.872 3.072 6.424" Properties=species:S:1:pos:R:3 pbc="T T T"
Ho -7.827 0.229 7.636
Ho -0.555 0.389 1.296
Ho -1.707 -1.815 3.542
Tm -3.064 1.997 6.475
Ho 3.319 0.662 5.840
Ho -3.014 1.233 3.041
Pm -0.010 1.001 4.542
Ho -1.494 -0.341 10.434
Tm -1.443 -1.105 7.001
Ho -2.800 2.707 9.934
Tm 1.579 -2.153 4.803
Ho 0.262 1.719 8.044
Ho -4.769 -0.827 5.431
Pm -4.498 -0.109 8.934
Ho -3.953 0.502 12.179
Tm -6.086 3.045 8.672
```

Total moment (μB/cell): 0.000
ΔE_f (meV per atom): 146
Density of states at the Fermi level (states/eV/f.u.): 12.29
E above lowest polymorph (meV per atom): 127
Space-group type: C2/m (12)
Crystal system: monoclinic